Here is an optimized crystal structure of Na3Cd2Ga9 from the Alexandria database. Energies are from PBE.

Computed properties:
**M_tot**: 0.000 μB/f.u.
**Raw total energy**: -2.4644 eV/atom
**Fermi-level density of states**: 0.35 states/eV per atom

```
data_Na3Cd2Ga9
_chemical_formula_sum 'Na6 Cd4 Ga18'
_space_group_name_H-M_alt 'I m m m'
_space_group_IT_number 71
_space_group_name_Hall '-I 2 2'
_cell_length_a 4.5267
_cell_length_b 9.8198
_cell_length_c 13.1890
_cell_angle_alpha 90.00
_cell_angle_beta 90.00
_cell_angle_gamma 90.00
loop_
_atom_site_label
_atom_site_type_symbol
_atom_site_fract_x
_atom_site_fract_y
_atom_site_fract_z
Na1 Na 0.0000 0.0000 0.0000
Na2 Na 0.0000 0.0000 0.2951
Cd1 Cd 0.0000 0.1811 0.5000
Ga1 Ga 0.0000 0.2772 0.1491
Ga2 Ga 0.0000 0.3687 0.3385
Ga3 Ga 0.0000 0.5000 0.0000
```